This record from the Alexandria database describes a relaxed Co3RuSe crystal. The functional is PBE.

Properties
Offset from the most stable computed form, meV/atom: 475
Density of states at the Fermi level, states/eV/atom: 3.203

extended XYZ file:
```
5
Lattice="4.491 0.000 0.000 0.000 4.491 0.000 0.000 0.000 4.491" Properties=species:S:1:pos:R:3 pbc="T T T"
Co 0.000 0.000 2.245
Co 0.000 2.245 0.000
Co 2.245 0.000 0.000
Ru 0.000 0.000 0.000
Se 2.245 2.245 2.245
```


This record from the Alexandria database describes a relaxed Co2RuSe crystal. The functional is PBE.

Properties
Calculated total energy, eV/cell: -25.6
Density of states at the Fermi level, states/eV/atom: 0.805

extended XYZ file:
```
4
Lattice="3.657 0.000 0.000 0.000 3.657 0.000 0.000 0.000 3.745" Properties=species:S:1:pos:R:3 pbc="T T T"
Co 0.000 1.828 0.000
Co 1.828 0.000 0.000
Ru 0.000 0.000 1.872
Se 1.828 1.828 1.872
```


This record from the Alexandria database describes a relaxed Co3RuSe crystal. The functional is PBE.

Properties
Offset from the most stable computed form, meV/atom: 0
Density of states at the Fermi level, states/eV/atom: 2.043

extended XYZ file:
```
5
Lattice="4.284 0.000 0.000 0.000 4.284 0.000 0.000 0.000 4.284" Properties=species:S:1:pos:R:3 pbc="T T T"
Co 0.000 0.000 2.142
Co 0.000 2.142 0.000
Co 2.142 0.000 0.000
Ru 2.142 2.142 2.142
Se 0.000 0.000 0.000
```


This record from the Alexandria database describes a relaxed Co2RuSe crystal. The functional is PBE.

Properties
Calculated total energy, eV/cell: -24.7
Density of states at the Fermi level, states/eV/atom: 1.387

extended XYZ file:
```
4
Lattice="1.450 -2.306 0.000 1.450 2.306 0.000 0.000 0.000 8.331" Properties=species:S:1:pos:R:3 pbc="T T T"
Co 0.000 0.000 0.000
Co 1.450 0.000 1.855
Ru 1.450 0.000 6.279
Se 0.000 0.000 3.995
```